Entry from Alexandria via LeMat-Bulk: a relaxed TaTi4H10 crystal (GGA-PBE).

Properties
Energy = -83.60 eV/cell
Fermi-level density of states = 6.9 states/eV/cell
V = 108.4 Å³ per cell

Structure (POSCAR):
```
TaTi4H10
1.0
-1.336 2.777 -3.019
-5.392 0.836 0.073
-0.036 5.185 1.703
H Ti Ta
10 4 1
Cartesian
-3.048 3.705 0.133
-4.231 2.084 -0.843
-5.481 5.623 -0.117
-3.716 5.093 -1.376
-1.869 5.333 1.101
-6.145 7.003 -1.617
-2.533 6.714 -0.400
-4.895 3.464 -2.344
-0.619 1.795 0.375
-1.283 3.175 -1.126
-4.337 6.866 -1.011
-4.857 3.851 -0.472
-2.427 1.932 -0.231
-1.907 4.946 -0.770
0.000 0.000 0.000
```